1.
The following is a DFT calculation (GGA-PBE) of crystalline K2LiIrF6 at its relaxed geometry.

Cell: 5.6167 5.6167 5.6167 Å, 120.01 120.01 89.98°
With the nearest neighbours (Å) after each atom.
Fractional positions:
F 0.7534 0.7534 0.5069  1 Li 1.96, 1 Ir 2.01
F 0.7534 0.7534 0.0000  1 Li 1.96, 1 Ir 2.01
K 0.2500 0.7500 0.5000  12 F 2.81
Ir 0.5000 0.5000 0.0000  6 F 2.01
F 0.2466 0.2466 0.4931  1 Li 1.96, 1 Ir 2.01
Li 0.0000 0.0000 0.0000  6 F 1.96
K 0.7500 0.2500 0.5000  12 F 2.81
F 0.7534 0.2466 0.0000  1 Li 1.96, 1 Ir 2.01
F 0.2466 0.2466 0.0000  1 Li 1.96, 1 Ir 2.01
F 0.2466 0.7534 0.0000  1 Li 1.96, 1 Ir 2.01

## Properties
VASP energy: -4.7092 eV/atom
SG: Fm-3m
energy relative to the lowest polymorph listed for this composition: 0.006 eV per atom


2.
The following is a DFT calculation (GGA-PBE) of crystalline K2LiIrF6 at its relaxed geometry.

Cell: 5.6070 5.6088 7.9436 Å, 90.01 90.00 90.05°
With the nearest neighbours (Å) after each atom.
Fractional positions:
K 0.4499 0.0499 0.2500  12 F 2.78-2.84
F 0.1915 0.3006 0.4992  1 Li 1.95, 1 Ir 2.01
Li 0.9499 0.0498 0.5000  6 F 1.95-1.96
K 0.4500 0.0499 0.7500  12 F 2.78-2.84
K 0.9501 0.5500 0.7502  12 F 2.78-2.83
F 0.2008 0.8076 0.4998  1 Li 1.96, 1 Ir 2.01
F 0.6989 0.3062 0.9996  1 Li 1.95, 1 Ir 2.01
K 0.9500 0.5502 0.2499  12 F 2.78-2.83
F 0.6937 0.7991 0.9993  1 Li 1.95, 1 Ir 2.01
F 0.7085 0.7987 0.5008  1 Li 1.95, 1 Ir 2.01
Ir 0.9501 0.0503 0.0000  6 F 2.01
Li 0.4501 0.5502 0.0000  6 F 1.95-1.96
F 0.2015 0.7945 0.0004  1 Li 1.96, 1 Ir 2.01
F 0.2064 0.3015 0.0007  1 Li 1.95, 1 Ir 2.01
F 0.4509 0.5502 0.2467  1 Li 1.96, 1 Ir 2.01
F 0.9490 0.0501 0.2533  1 Li 1.96, 1 Ir 2.01
F 0.4491 0.5492 0.7533  1 Li 1.96, 1 Ir 2.01
F 0.9510 0.0504 0.7467  1 Li 1.96, 1 Ir 2.01
F 0.6990 0.2916 0.5002  1 Li 1.95, 1 Ir 2.01
Ir 0.4499 0.5497 0.5000  6 F 2.01

## Properties
VASP energy: -4.7073 eV/atom
SG: P-1
energy relative to the lowest polymorph listed for this composition: 0.008 eV per atom


3.
The following is a DFT calculation (GGA-PBE) of crystalline K2LiIrF6 at its relaxed geometry.

Cell: 5.5174 5.6539 9.5990 Å, 90.00 124.61 90.00°
With the nearest neighbours (Å) after each atom.
Fractional positions:
Li 0.5000 0.0000 0.5000  6 F 1.94
Li 0.5000 0.5000 0.0000  6 F 1.94
F 0.7503 0.9986 0.7458  1 Li 1.94, 1 Ir 2.01
F 0.7506 0.2609 0.9978  1 Li 1.94, 1 Ir 2.01
K 0.7497 0.9999 0.2500  12 F 2.73-2.85
F 0.2497 0.4986 0.7542  1 Li 1.94, 1 Ir 2.01
K 0.2503 0.0001 0.7501  12 F 2.73-2.85
F 0.7378 0.7493 0.4966  1 Li 1.94, 1 Ir 2.01
Ir 0.0000 0.5000 0.5000  6 F 2.01
F 0.2494 0.7391 0.0022  1 Li 1.94, 1 Ir 2.01
F 0.7506 0.2391 0.4978  1 Li 1.94, 1 Ir 2.01
F 0.7378 0.7507 0.9966  1 Li 1.94, 1 Ir 2.01
F 0.7503 0.5014 0.2458  1 Li 1.94, 1 Ir 2.01
Ir 0.0000 0.0000 0.0000  6 F 2.01
K 0.7497 0.5001 0.7499  12 F 2.73-2.85
F 0.2494 0.7609 0.5022  1 Li 1.94, 1 Ir 2.01
K 0.2503 0.4999 0.2501  12 F 2.73-2.85
F 0.2622 0.2507 0.5034  1 Li 1.94, 1 Ir 2.01
F 0.2497 0.0014 0.2542  1 Li 1.94, 1 Ir 2.01
F 0.2622 0.2493 0.0034  1 Li 1.94, 1 Ir 2.01

## Properties
VASP energy: -4.6982 eV/atom
SG: P2_1/c
energy relative to the lowest polymorph listed for this composition: 0.017 eV per atom


4.
The following is a DFT calculation (GGA-PBE) of crystalline K2Ir2O3F2 at its relaxed geometry.

Cell: 6.7336 6.7336 6.5438 Å, 90.93 90.93 75.01°
With the nearest neighbours (Å) after each atom.
Fractional positions:
Ir 0.9351 0.2470 0.1298  3 O 1.92-2.06, 1 F 2.10
Ir 0.0649 0.7530 0.8702  3 O 1.92-2.06, 1 F 2.10
F 0.5679 0.1951 0.6207  1 Ir 2.10
K 0.5884 0.5884 0.7041  3 O 2.54-2.58, 4 F 2.64-2.73
O 0.0000 0.5000 0.0000  2 Ir 2.06
O 0.1739 0.1739 0.3042  2 Ir 1.92
K 0.7992 0.7992 0.3015  2 F 2.52, 1 O 2.59
O 0.8261 0.8261 0.6958  2 Ir 1.92
O 0.5000 0.0000 0.0000  2 Ir 2.06
Ir 0.2470 0.9351 0.1298  3 O 1.92-2.06, 1 F 2.10
K 0.2008 0.2008 0.6985  2 F 2.52, 1 O 2.59
O 0.6691 0.3309 0.0000  2 Ir 1.92
F 0.8049 0.4321 0.3793  1 Ir 2.10
F 0.4321 0.8049 0.3793  1 Ir 2.10
F 0.1951 0.5679 0.6207  1 Ir 2.10
O 0.3309 0.6691 0.0000  2 Ir 1.92
Ir 0.7530 0.0649 0.8702  3 O 1.92-2.06, 1 F 2.10
K 0.4116 0.4116 0.2959  3 O 2.54-2.58, 4 F 2.64-2.73

## Properties
VASP energy: -5.4482 eV/atom
SG: C2/m


5.
The following is a DFT calculation (GGA-PBE) of crystalline KRb2IrF6 at its relaxed geometry.

Cell: 6.1393 6.1393 6.1393 Å, 60.00 60.00 60.00°
With the nearest neighbours (Å) after each atom.
Fractional positions:
Ir 0.0000 0.0000 0.0000  6 F 2.00
Rb 0.2500 0.2500 0.2500  12 F 3.07
F 0.2301 0.7699 0.7699  1 Ir 2.00
F 0.2301 0.2301 0.7699  1 Ir 2.00
F 0.7699 0.2301 0.2301  1 Ir 2.00
K 0.5000 0.5000 0.5000  6 F 2.34
F 0.7699 0.7699 0.2301  1 Ir 2.00
F 0.7699 0.2301 0.7699  1 Ir 2.00
Rb 0.7500 0.7500 0.7500  12 F 3.07
F 0.2301 0.7699 0.2301  1 Ir 2.00

## Properties
VASP energy: -4.5365 eV/atom
SG: Fm-3m


6.
The following is a DFT calculation (GGA-PBE) of crystalline LaIrF3 at its relaxed geometry.

Cell: 6.9789 6.9789 4.8915 Å, 90.00 90.00 144.95°
With the nearest neighbours (Å) after each atom.
Fractional positions:
La 0.1492 0.8508 0.7500  6 F 2.36-2.51
Ir 0.5308 0.4692 0.2500  2 F 2.14
F 0.9378 0.0622 0.7500  2 Ir 2.14
F 0.0622 0.9378 0.2500  2 Ir 2.14
La 0.8508 0.1492 0.2500  6 F 2.36-2.51
F 0.2994 0.7006 0.4942  3 La 2.36-2.51, 4 F 2.39-2.50, 1 Ir 2.58
F 0.7006 0.2994 0.5058  3 La 2.36-2.51, 4 F 2.39-2.50, 1 Ir 2.58
F 0.2994 0.7006 0.0058  3 La 2.36-2.51, 4 F 2.39-2.50, 1 Ir 2.58
F 0.7006 0.2994 0.9942  3 La 2.36-2.51, 4 F 2.39-2.50, 1 Ir 2.58
Ir 0.4692 0.5308 0.7500  2 F 2.14

## Properties
VASP energy: -6.2350 eV/atom
SG: Cmcm


7.
The following is a DFT calculation (GGA-PBE) of crystalline Li2IrF6 at its relaxed geometry.

Cell: 4.2949 8.3111 5.0940 Å, 90.00 90.02 90.00°
With the nearest neighbours (Å) after each atom.
Fractional positions:
F 0.7448 0.6658 0.1735  2 Li 1.90-1.97, 1 Ir 1.95
F 0.2552 0.3342 0.8265  2 Li 1.90-1.97, 1 Ir 1.95
F 0.2449 0.8343 0.3266  2 Li 1.90-1.97, 1 Ir 1.95
F 0.7551 0.1657 0.6734  2 Li 1.90-1.97, 1 Ir 1.95
F 0.2640 0.5000 0.3327  1 Ir 1.97, 2 Li 2.00
F 0.2552 0.6658 0.8265  2 Li 1.90-1.97, 1 Ir 1.95
Li 0.0000 0.8198 0.0000  6 F 1.90-2.00
F 0.7551 0.8343 0.6734  2 Li 1.90-1.97, 1 Ir 1.95
Li 0.0000 0.1802 0.0000  6 F 1.90-2.00
Li 0.5000 0.3198 0.5000  6 F 1.90-2.00
F 0.7360 0.5000 0.6673  1 Ir 1.97, 2 Li 2.00
Ir 0.5000 0.5000 0.0000  6 F 1.95-1.97
F 0.2449 0.1657 0.3266  2 Li 1.90-1.97, 1 Ir 1.95
F 0.7643 0.0000 0.1676  1 Ir 1.97, 2 Li 2.00
Ir 0.0000 0.0000 0.5000  6 F 1.95-1.97
F 0.2357 0.0000 0.8324  1 Ir 1.97, 2 Li 2.00
Li 0.5000 0.6802 0.5000  6 F 1.90-2.00
F 0.7448 0.3342 0.1735  2 Li 1.90-1.97, 1 Ir 1.95

## Properties
VASP energy: -4.7561 eV/atom
SG: Pnnm


8.
The following is a DFT calculation (GGA-PBE) of crystalline Na2LiIrF6 at its relaxed geometry.

Cell: 5.4594 5.4594 5.4594 Å, 60.00 60.00 60.00°
With the nearest neighbours (Å) after each atom.
Fractional positions:
F 0.2575 0.7425 0.7425  1 Li 1.87, 1 Ir 1.99
F 0.7425 0.2575 0.2575  1 Li 1.87, 1 Ir 1.99
Ir 0.0000 0.0000 0.0000  6 F 1.99
F 0.7425 0.2575 0.7425  1 Li 1.87, 1 Ir 1.99
F 0.7425 0.7425 0.2575  1 Li 1.87, 1 Ir 1.99
Na 0.2500 0.2500 0.2500  12 F 2.73
Li 0.5000 0.5000 0.5000  6 F 1.87
F 0.2575 0.7425 0.2575  1 Li 1.87, 1 Ir 1.99
F 0.2575 0.2575 0.7425  1 Li 1.87, 1 Ir 1.99
Na 0.7500 0.7500 0.7500  12 F 2.73

## Properties
VASP energy: -4.6313 eV/atom
SG: Fm-3m